1.
Density functional theory data (SCAN) for a crystal of Pb2WCl relaxed with PBEsol.

## Properties
Crystal system   orthorhombic
Relative energy among the computed polymorphs   0.000 eV per atom
Magnetic moment   2.490 μB/f.u.
Formation energy without anion corrections   898 meV/atom
VASP energy   -56.409 eV/atom

Structure (POSCAR):
```
Pb2WCl
1.0
3.1616 0.0000 0.0000
0.0000 4.8326 0.0000
0.0000 0.0000 6.3721
Pb W Cl
2 1 1
Cartesian
0.0000 0.0000 0.0000
1.5808 0.0000 3.1860
0.0000 2.4163 3.1860
1.5808 2.4163 0.0000
```

=====

2.
Density functional theory data (SCAN) for a crystal of TaNiI3 relaxed with PBEsol.

## Properties
Crystal system   cubic
Magnetic moment   1.887 μB/f.u.
Formation energy without anion corrections   1021 meV/atom
VASP energy   -37.575 eV/atom

Structure (POSCAR):
```
TaNiI3
1.0
5.4148 0.0000 0.0000
0.0000 5.4148 0.0000
0.0000 0.0000 5.4148
Ta Ni I
1 1 3
Cartesian
0.0000 0.0000 0.0000
2.7074 2.7074 2.7074
0.0000 0.0000 2.7074
0.0000 2.7074 0.0000
2.7074 0.0000 0.0000
```

=====

3.
Density functional theory data (SCAN) for a crystal of Cu2SiNi relaxed with PBEsol.

## Properties
Crystal system   cubic
Magnetic moment   0.000 μB/f.u.
Formation energy without anion corrections   -194 meV/atom
VASP energy   -14.341 eV/atom

Structure (POSCAR):
```
Cu2SiNi
1.0
0.0000 2.8070 2.8070
2.8070 0.0000 2.8070
2.8070 2.8070 0.0000
Cu Si Ni
2 1 1
Cartesian
0.0000 0.0000 0.0000
1.4035 1.4035 1.4035
2.8070 2.8070 2.8070
4.2105 4.2105 4.2105
```

=====

4.
Density functional theory data (SCAN) for a crystal of Hg2SbP relaxed with PBEsol.

## Properties
Crystal system   tetragonal
Relative energy among the computed polymorphs   0.078 eV per atom
Magnetic moment   0.000 μB/f.u.
Formation energy without anion corrections   194 meV/atom
VASP energy   -45.804 eV/atom

Structure (POSCAR):
```
Hg2SbP
1.0
4.0290 0.0000 0.0000
0.0000 4.0290 0.0000
0.0000 0.0000 5.6412
Hg Sb P
2 1 1
Cartesian
0.0000 0.0000 0.0000
2.0145 2.0145 0.0000
0.0000 0.0000 2.8206
2.0145 2.0145 2.8206
```

=====

5.
Density functional theory data (SCAN) for a crystal of NbClF2 relaxed with PBEsol.

## Properties
Crystal system   tetragonal
Relative energy among the computed polymorphs   0.000 eV per atom
Magnetic moment   2.000 μB/f.u.
Formation energy without anion corrections   -1787 meV/atom
VASP energy   -13.834 eV/atom

Structure (POSCAR):
```
NbClF2
1.0
-2.2020 2.2020 6.8723
2.2020 -2.2020 6.8723
2.2020 2.2020 -6.8723
Nb Cl F
2 2 4
Cartesian
2.2020 1.1010 1.7181
0.0000 1.1010 5.1542
2.2020 -1.1010 5.1542
0.0000 3.3030 1.7181
2.2020 0.0000 0.0000
-1.1010 1.1010 3.4361
0.0000 0.0000 6.8723
1.1010 1.1010 3.4361
```

=====

6.
Density functional theory data (SCAN) for a crystal of Na2MoH2O3F4 relaxed with PBEsol.

## Properties
Crystal system   orthorhombic
Magnetic moment   0.061 μB/f.u.
VASP energy   -9.205 eV/atom

Structure (POSCAR):
```
Na2MoH2O3F4
1.0
5.3773 0.0000 0.0000
0.0000 5.7536 0.0000
0.0000 0.0000 19.2572
Na Mo H O F
8 4 8 12 16
Cartesian
1.2617 1.3178 6.9905
1.2759 3.8522 4.8251
1.4127 1.9014 14.4538
1.4269 4.4358 16.6191
3.9504 1.5590 12.2667
3.9645 4.7782 14.4321
4.1014 0.9754 4.8035
4.1155 4.1946 2.6381
1.2347 4.4310 12.2695
1.4539 1.3226 2.6409
3.9234 4.1994 6.9877
4.1425 1.5542 16.6163
0.1093 1.2480 9.5849
1.1733 0.0766 9.6388
1.5153 5.6770 0.0101
2.5793 4.5056 19.2135
2.7980 1.6288 9.6724
3.8620 2.8002 9.6185
4.2039 2.9534 19.2471
5.2679 4.1249 0.0438
0.2393 2.4049 16.7161
0.8272 1.1818 1.0685
1.0160 0.9870 9.2758
1.6727 4.7666 18.9044
1.8614 4.5718 10.6971
2.4493 3.3487 7.0875
2.9280 0.4719 2.5411
3.5158 1.6950 18.1888
3.7046 1.8898 9.9814
4.3613 3.8638 0.3528
4.5501 4.0586 8.5601
5.1379 5.2817 12.1697
0.1423 5.2604 6.2448
0.4375 5.5792 3.3828
0.5342 2.6529 12.1378
0.7829 4.1342 14.3266
1.9058 1.6194 4.6980
2.1544 3.1008 2.5092
2.2512 0.1744 13.0114
2.5464 0.4932 15.8735
2.8309 3.3700 13.0124
3.1261 3.0512 15.8745
3.2229 0.2239 7.1194
3.4715 4.4962 4.9307
4.5944 1.2574 14.5593
4.8430 5.5297 16.7480
4.9398 2.7024 6.2458
5.2350 2.3836 3.3838
```

=====

7.
Density functional theory data (SCAN) for a crystal of CuBrO2 relaxed with PBEsol.

## Properties
Crystal system   cubic
Magnetic moment   0.000 μB/f.u.
Formation energy without anion corrections   960 meV/atom
VASP energy   -10.820 eV/atom

Structure (POSCAR):
```
CuBrO2
1.0
0.0000 2.7887 2.7887
2.7887 0.0000 2.7887
2.7887 2.7887 0.0000
Cu Br O
1 1 2
Cartesian
0.0000 0.0000 0.0000
2.7887 2.7887 2.7887
1.3944 1.3944 1.3944
4.1831 4.1831 4.1831
```

=====

8.
Density functional theory data (SCAN) for a crystal of PrAl2Ga2 relaxed with PBEsol.

## Properties
Crystal system   tetragonal
Calculated formation energy   -0.536 eV per atom
Magnetic moment   0.011 μB/f.u.
VASP energy   -18.841 eV/atom

Structure (POSCAR):
```
PrAl2Ga2
1.0
-2.0823 2.0823 5.6005
2.0823 -2.0823 5.6005
2.0823 2.0823 -5.6005
Pr Al Ga
1 2 2
Cartesian
0.0000 0.0000 0.0000
2.0823 0.0000 2.8002
0.0000 2.0823 2.8002
0.0000 0.0000 4.3597
0.0000 0.0000 6.8413
```

=====

9.
Density functional theory data (SCAN) for a crystal of ZnPI2O relaxed with PBEsol.

## Properties
Crystal system   tetragonal
Magnetic moment   0.269 μB/f.u.
Formation energy without anion corrections   346 meV/atom
VASP energy   -20.379 eV/atom

Structure (POSCAR):
```
ZnPI2O
1.0
5.4824 0.0000 0.0000
0.0000 5.4824 0.0000
0.0000 0.0000 3.6130
Zn P I O
1 1 2 1
Cartesian
0.0000 0.0000 0.0000
2.7412 2.7412 1.8065
0.0000 2.7412 0.0000
2.7412 0.0000 0.0000
0.0000 0.0000 1.8065
```

=====

10.
Density functional theory data (SCAN) for a crystal of NiHgPt2 relaxed with PBEsol.

## Properties
Crystal system   tetragonal
Calculated formation energy   0.101 eV per atom
Magnetic moment   1.146 μB/f.u.
VASP energy   -56.081 eV/atom

Structure (POSCAR):
```
NiHgPt2
1.0
2.8163 0.0000 0.0000
0.0000 2.8163 0.0000
0.0000 0.0000 7.5431
Ni Hg Pt
1 1 2
Cartesian
0.0000 0.0000 0.0000
1.4081 1.4081 5.6824
0.0000 0.0000 3.5608
1.4081 1.4081 1.6160
```

=====

11.
Density functional theory data (SCAN) for a crystal of TlP relaxed with PBEsol.

## Properties
Crystal system   monoclinic
Calculated formation energy   0.085 eV per atom
Magnetic moment   0.000 μB/f.u.
VASP energy   -41.293 eV/atom

Structure (POSCAR):
```
TlP
1.0
5.0549 0.0000 0.0000
0.0000 3.2791 0.0000
-1.8269 0.0000 5.7804
Tl P
2 2
Cartesian
0.3586 0.8198 1.8040
2.8693 2.4593 3.9764
0.3687 0.8198 5.1171
2.8592 2.4593 0.6632
```

=====

12.
Density functional theory data (SCAN) for a crystal of LiPt2Br relaxed with PBEsol.

## Properties
Crystal system   cubic
Relative energy among the computed polymorphs   0.498 eV per atom
Magnetic moment   0.002 μB/f.u.
Formation energy without anion corrections   264 meV/atom
VASP energy   -40.294 eV/atom

Structure (POSCAR):
```
LiPt2Br
1.0
0.0000 3.1897 3.1897
3.1897 0.0000 3.1897
3.1897 3.1897 0.0000
Li Pt Br
1 2 1
Cartesian
0.0000 0.0000 0.0000
1.5948 1.5948 1.5948
3.1897 3.1897 3.1897
4.7845 4.7845 4.7845
```

=====

13.
Density functional theory data (SCAN) for a crystal of Li4Fe3Cu3W2O16 relaxed with PBEsol.

## Properties
Crystal system   monoclinic
Magnetic moment   4.300 μB/f.u.
Formation energy without anion corrections   -1735 meV/atom
VASP energy   -14.185 eV/atom

Structure (POSCAR):
```
Li4Fe3Cu3W2O16
1.0
5.1038 -2.8344 0.0000
5.1038 2.8344 0.0000
-0.5871 0.0000 9.4896
Li Fe Cu W O
4 3 3 2 16
Cartesian
0.0000 0.0000 0.0000
-0.1588 0.0000 4.7694
3.1483 0.0000 3.9279
6.0762 0.0000 8.7257
1.3238 0.0000 6.9624
5.8631 1.3646 2.1528
5.8631 -1.3646 2.1528
3.8514 1.3852 6.8608
3.8514 -1.3852 6.8608
8.3908 0.0000 2.1367
3.3271 0.0000 0.0235
6.5913 0.0000 4.7671
-0.3520 0.0000 7.6555
-0.0425 0.0000 2.9599
1.9034 1.2425 8.2860
1.6170 0.0000 1.1485
4.2452 1.3496 1.0057
2.8791 0.0000 6.0485
5.8477 1.4067 5.7142
1.9034 -1.2425 8.2860
4.2440 0.0000 8.2681
7.2746 1.2929 3.3480
5.1209 0.0000 3.3271
6.6489 0.0000 1.1711
4.2452 -1.3496 1.0057
8.2756 0.0000 5.5230
5.8477 -1.4067 5.7142
7.2746 -1.2929 3.3480
```

=====

14.
Density functional theory data (SCAN) for a crystal of Mn2Ir relaxed with PBEsol.

## Properties
Crystal system   monoclinic
Calculated formation energy   -0.185 eV per atom
Magnetic moment   0.077 μB/f.u.
VASP energy   -36.055 eV/atom

Structure (POSCAR):
```
Mn2Ir
1.0
4.6134 -1.2980 0.0000
4.6134 1.2980 0.0000
-1.3909 0.0000 5.8478
Mn Ir
4 2
Cartesian
0.0000 0.0000 0.0000
-0.3176 0.0000 3.6139
3.2057 0.0000 1.5603
5.3427 0.0000 5.5251
2.1938 0.0000 3.9490
5.6636 0.0000 1.9024
```

=====

15.
Density functional theory data (SCAN) for a crystal of Y2MnPt relaxed with PBEsol.

## Properties
Crystal system   cubic
Calculated formation energy   -0.538 eV per atom
Magnetic moment   4.714 μB/f.u.
VASP energy   -36.572 eV/atom

Structure (POSCAR):
```
Y2MnPt
1.0
0.0000 3.3768 3.3768
3.3768 0.0000 3.3768
3.3768 3.3768 0.0000
Y Mn Pt
2 1 1
Cartesian
0.0000 0.0000 0.0000
1.6884 1.6884 1.6884
5.0652 5.0652 5.0652
3.3768 3.3768 3.3768
```

=====

16.
Density functional theory data (SCAN) for a crystal of HoSnGe relaxed with PBEsol.

## Properties
Crystal system   orthorhombic
Calculated formation energy   -0.679 eV per atom
Magnetic moment   0.000 μB/f.u.
VASP energy   -35.344 eV/atom

Structure (POSCAR):
```
HoSnGe
1.0
2.1111 -7.9548 0.0000
2.1111 7.9548 0.0000
0.0000 0.0000 4.0079
Ho Sn Ge
2 2 2
Cartesian
2.1111 6.4579 3.0059
2.1111 -6.4579 1.0020
2.1111 3.9074 1.0020
2.1111 -3.9074 3.0059
2.1111 0.8647 3.0059
2.1111 -0.8647 1.0020
```

=====

17.
Density functional theory data (SCAN) for a crystal of TcNi2Pt relaxed with PBEsol.

## Properties
Crystal system   orthorhombic
Calculated formation energy   0.153 eV per atom
Relative energy among the computed polymorphs   0.242 eV per atom
Magnetic moment   2.751 μB/f.u.
VASP energy   -34.247 eV/atom

Structure (POSCAR):
```
TcNi2Pt
1.0
2.6401 0.0000 0.0000
0.0000 4.3303 0.0000
0.0000 0.0000 4.5171
Tc Ni Pt
1 2 1
Cartesian
0.0000 0.0000 0.0000
0.0000 2.1651 2.2586
1.3200 2.1651 0.0000
1.3200 0.0000 2.2586
```

=====

18.
Density functional theory data (SCAN) for a crystal of BeInCl relaxed with PBEsol.

## Properties
Crystal system   tetragonal
Relative energy among the computed polymorphs   0.000 eV per atom
Magnetic moment   0.000 μB/f.u.
Formation energy without anion corrections   36 meV/atom
VASP energy   -15.204 eV/atom

Structure (POSCAR):
```
BeInCl
1.0
-1.4922 1.4922 6.9618
1.4922 -1.4922 6.9618
1.4922 1.4922 -6.9618
Be In Cl
1 1 1
Cartesian
0.0000 0.0000 0.0000
0.0000 0.0000 4.8616
0.0000 0.0000 8.0628
```

=====

19.
Density functional theory data (SCAN) for a crystal of BaNi relaxed with PBEsol.

## Properties
Crystal system   trigonal
Calculated formation energy   0.061 eV per atom
Magnetic moment   0.113 μB/f.u.
VASP energy   -27.801 eV/atom

Structure (POSCAR):
```
BaNi
1.0
2.0850 1.2038 8.2085
-2.0850 1.2038 8.2085
0.0000 -2.4075 8.2085
Ba Ni
2 2
Cartesian
0.0000 0.0000 2.0416
0.0000 0.0000 22.5841
0.0000 0.0000 8.2035
0.0000 0.0000 16.4221
```

=====

20.
Density functional theory data (SCAN) for a crystal of CaCd2 relaxed with PBEsol.

## Properties
Crystal system   hexagonal
Calculated formation energy   -0.419 eV per atom
Magnetic moment   0.000 μB/f.u.
VASP energy   -23.917 eV/atom

Structure (POSCAR):
```
CaCd2
1.0
5.9338 0.0000 0.0000
-2.9669 5.1388 0.0000
0.0000 0.0000 9.4360
Ca Cd
4 8
Cartesian
0.0000 3.4259 0.5684
0.0000 3.4259 4.1496
2.9669 1.7129 5.2864
2.9669 1.7129 8.8676
0.0000 0.0000 0.0000
0.0000 0.0000 4.7180
0.0000 1.7495 7.0770
-1.4518 4.2641 7.0770
1.5151 0.8748 2.3590
1.4518 4.2641 7.0770
4.4187 0.8748 2.3590
2.9669 3.3893 2.3590
```

=====

21.
Density functional theory data (SCAN) for a crystal of In5Br relaxed with PBEsol.

## Properties
Crystal system   orthorhombic
Magnetic moment   0.000 μB/f.u.
Formation energy without anion corrections   -85 meV/atom
VASP energy   -31.150 eV/atom

Structure (POSCAR):
```
In5Br
1.0
5.4333 0.0000 0.0000
0.0000 1.6978 8.4168
0.0000 -1.6978 8.4168
In Br
5 1
Cartesian
0.0000 0.0000 0.0000
0.0000 0.0000 5.5941
0.0000 0.0000 11.2362
2.7167 0.0000 2.8065
2.7167 0.0000 14.0589
2.7167 0.0000 8.4281
```

=====

22.
Density functional theory data (SCAN) for a crystal of YNiW relaxed with PBEsol.

## Properties
Crystal system   cubic
Calculated formation energy   1.747 eV per atom
Magnetic moment   2.845 μB/f.u.
VASP energy   -36.154 eV/atom

Structure (POSCAR):
```
YNiW
1.0
0.0000 3.1429 3.1429
3.1429 0.0000 3.1429
3.1429 3.1429 0.0000
Y Ni W
1 1 1
Cartesian
0.0000 0.0000 0.0000
1.5714 1.5714 1.5714
4.7143 4.7143 4.7143
```

=====

23.
Density functional theory data (SCAN) for a crystal of LaTiS3 relaxed with PBEsol.

## Properties
Crystal system   orthorhombic
Magnetic moment   0.775 μB/f.u.
Formation energy without anion corrections   -2038 meV/atom
VASP energy   -19.642 eV/atom

Structure (POSCAR):
```
LaTiS3
1.0
7.8852 0.0000 0.0000
0.0000 3.7204 0.0000
0.0000 0.0000 13.1402
La Ti S
4 4 12
Cartesian
0.6267 0.9301 2.2395
3.3159 2.7903 8.8096
4.5693 0.9301 4.3306
7.2586 2.7903 10.9007
1.1598 2.7903 5.8958
2.7828 0.9301 12.4659
5.1025 2.7903 0.6742
6.7254 0.9301 7.2443
0.2303 2.7903 8.0717
1.2928 2.7903 0.0837
1.5945 0.9301 10.3404
2.3481 2.7903 3.7703
2.6499 0.9301 6.6538
3.7123 0.9301 1.5016
4.1729 2.7903 11.6386
5.2354 2.7903 6.4864
5.5371 0.9301 9.3699
6.2908 2.7903 2.7998
6.5925 0.9301 13.0564
7.6550 0.9301 5.0685
```

=====

24.
Density functional theory data (SCAN) for a crystal of BaLaIn relaxed with PBEsol.

## Properties
Crystal system   cubic
Calculated formation energy   -0.059 eV per atom
Relative energy among the computed polymorphs   0.080 eV per atom
Magnetic moment   0.000 μB/f.u.
VASP energy   -38.739 eV/atom

Structure (POSCAR):
```
BaLaIn
1.0
0.0000 3.8074 3.8074
3.8074 0.0000 3.8074
3.8074 3.8074 0.0000
Ba La In
1 1 1
Cartesian
0.0000 0.0000 0.0000
1.9037 1.9037 1.9037
3.8074 3.8074 3.8074
```